1.
# LaTm4Tl5 (PBE-GGA, optimized geometry)
# **Space-group type**: P4/mmm (123)
# **DOS at the Fermi energy**: 7.66 states/eV per cell
# **Formation enthalpy at 0 K**: -31.2 kJ per mole of atoms
# **E**: -37.88 eV per cell
data_LaTm4Tl5
_symmetry_space_group_name_H-M 'P 1'
_symmetry_Int_Tables_number 1
_symmetry_space_group_name_Hall 'P 1'
_cell_length_a 3.7311
_cell_length_b 3.7311
_cell_length_c 19.6974
_cell_angle_alpha 90.00
_cell_angle_beta 90.00
_cell_angle_gamma 90.00
loop_
_atom_site_label
_atom_site_fract_x
_atom_site_fract_y
_atom_site_fract_z
La1 0.0000 0.0000 0.0000
Tm1 0.0000 0.0000 0.7903
Tm2 0.0000 0.0000 0.5964
Tm3 0.0000 0.0000 0.2097
Tm4 0.0000 0.0000 0.4036
Tl1 0.5000 0.5000 0.3077
Tl2 0.5000 0.5000 0.8866
Tl3 0.5000 0.5000 0.5000
Tl4 0.5000 0.5000 0.6923
Tl5 0.5000 0.5000 0.1134

=====

2.
# LiCa2MnN (PBE-GGA, optimized geometry)
# **Space-group type**: P4/mmm (123)
# **DOS at the Fermi energy**: 3.43 states/eV per cell
# **Formation energy (no corrections)**: -286.5 meV per atom
# **E**: -24.84 eV per cell
data_LiCa2MnN
_symmetry_space_group_name_H-M 'P 1'
_symmetry_Int_Tables_number 1
_symmetry_space_group_name_Hall 'P 1'
_cell_length_a 5.1501
_cell_length_b 5.1501
_cell_length_c 3.7750
_cell_angle_alpha 90.00
_cell_angle_beta 90.00
_cell_angle_gamma 90.00
loop_
_atom_site_label
_atom_site_fract_x
_atom_site_fract_y
_atom_site_fract_z
Ca1 0.5000 0.0000 0.0000
Ca2 0.0000 0.5000 0.0000
Mn1 0.0000 0.0000 0.5000
Li1 0.5000 0.5000 0.5000
N1 0.0000 0.0000 0.0000

=====

3.
# CaOsIO2 (PBE-GGA, optimized geometry)
# **Space-group type**: P4/mmm (123)
# **DOS at the Fermi energy**: 3.75 states/eV per cell
# **Formation energy (no corrections)**: -611.8 meV per atom
# **Relative energy among the computed polymorphs**: 0.0 meV per atom
# **E**: -27.76 eV per cell
data_CaOsIO2
_symmetry_space_group_name_H-M 'P 1'
_symmetry_Int_Tables_number 1
_symmetry_space_group_name_Hall 'P 1'
_cell_length_a 4.0295
_cell_length_b 4.0295
_cell_length_c 5.7143
_cell_angle_alpha 90.00
_cell_angle_beta 90.00
_cell_angle_gamma 90.00
loop_
_atom_site_label
_atom_site_fract_x
_atom_site_fract_y
_atom_site_fract_z
O1 0.5000 0.0000 0.0000
O2 0.0000 0.5000 0.0000
Os1 0.0000 0.0000 0.0000
I1 0.0000 0.0000 0.5000
Ca1 0.5000 0.5000 0.5000

=====

4.
# Nd3ErTm6 (PBE-GGA, optimized geometry)
# **Space-group type**: P2_1/m (11)
# **DOS at the Fermi energy**: 29.81 states/eV per cell
# **Relative energy among the computed polymorphs**: 45.5 meV per atom
# **Formation enthalpy at 0 K**: 6.7 kJ per mole of atoms
# **E**: -90.00 eV per cell
data_Nd3ErTm6
_symmetry_space_group_name_H-M 'P 1'
_symmetry_Int_Tables_number 1
_symmetry_space_group_name_Hall 'P 1'
_cell_length_a 3.5023
_cell_length_b 12.9601
_cell_length_c 14.2220
_cell_angle_alpha 100.16
_cell_angle_beta 90.00
_cell_angle_gamma 90.00
loop_
_atom_site_label
_atom_site_fract_x
_atom_site_fract_y
_atom_site_fract_z
Tm1 0.2500 0.1927 0.9246
Tm2 0.7500 0.4998 0.6910
Tm3 0.2500 0.8824 0.5155
Tm4 0.2500 0.6552 0.8771
Tm5 0.7500 0.7804 0.7131
Tm6 0.7500 0.8073 0.0754
Tm7 0.2500 0.2196 0.2869
Tm8 0.7500 0.1176 0.4845
Tm9 0.7500 0.7323 0.3002
Tm10 0.7500 0.3448 0.1229
Tm11 0.2500 0.5002 0.3090
Tm12 0.2500 0.2677 0.6998
Nd1 0.7500 0.6286 0.5045
Nd2 0.7500 0.0741 0.1020
Nd3 0.2500 0.9259 0.8980
Nd4 0.7500 0.4205 0.9018
Nd5 0.2500 0.3714 0.4955
Nd6 0.2500 0.5795 0.0982
Er1 0.2500 0.9590 0.2801
Er2 0.7500 0.0410 0.7199